Here is a relaxed structure of MnCrCoF6 from Alexandria via LeMat-Bulk. Energies are from GGA+U.

## Properties
- Size of the total moment: 12.00 μB/f.u.
- Final energy: -5.925 eV per atom

Unit cell a=4.819 b=4.819 c=10.098 alpha=90.00 beta=90.00 gamma=90.00
Space group P4_2nm (No. 102)
Asymmetric unit:
Mn (0.000, 0.000, 0.000) (multiplicity 2)
Cr (0.000, 0.000, 0.333) (multiplicity 2)
Co (0.000, 0.000, 0.666) (multiplicity 2)
F (0.193, 0.193, 0.507) (multiplicity 4)
F (0.200, 0.200, 0.829) (multiplicity 4)
F (0.204, 0.204, 0.164) (multiplicity 4)